## KBeZn2C (PBE)

Data for an optimized crystal structure of KBeZn2C.

Structure (POSCAR):
```
KBeZn2C
1.0
-4.380 -3.651 -3.912
0.999 -4.389 2.978
-5.196 1.693 4.238
Zn C K Be
2 1 1 1
Direct
0.000 0.000 0.500
0.500 0.000 0.000
0.000 0.500 0.000
0.000 0.000 0.000
0.500 0.500 0.500
```

Summary:
space group = P4/mmm
energy of formation from the pure elements = 2.197 eV per atom

## La2BeC (PBE)

Data for an optimized crystal structure of La2BeC.

Structure (POSCAR):
```
La2BeC
1.0
7.131 0.000 0.000
0.000 7.131 0.000
3.565 3.565 3.999
Be La C
2 4 2
Direct
0.500 0.500 0.000
0.250 0.750 0.500
0.064 0.625 0.250
0.375 0.314 0.750
0.875 0.936 0.750
0.686 0.125 0.250
0.750 0.250 0.500
0.000 0.000 0.000
```

Summary:
space group = I-42d
energy of formation from the pure elements = 0.393 eV per atom
energy above the lowest structure with this stoichiometry = 0.00 kcal/mol of atoms

## LaBeC3 (PBE)

Data for an optimized crystal structure of LaBeC3.

Structure (POSCAR):
```
LaBeC3
1.0
-1.137 -2.715 -2.468
0.997 -2.715 2.527
-3.531 0.107 1.508
La C Be
1 3 1
Direct
0.500 0.500 0.500
0.000 0.500 0.000
0.500 0.000 0.000
0.000 0.000 0.500
0.000 0.000 0.000
```

Summary:
space group = Pm-3m
energy of formation from the pure elements = 1.285 eV per atom
energy above the lowest structure with this stoichiometry = 0.00 kcal/mol of atoms

## LaBeC2 (PBE)

Data for an optimized crystal structure of LaBeC2.

Structure (POSCAR):
```
LaBeC2
1.0
4.140 0.000 0.000
0.000 4.140 0.000
2.070 2.070 5.917
C Be La
4 2 2
Direct
0.375 0.625 0.250
0.875 0.625 0.750
0.375 0.125 0.250
0.375 0.625 0.750
0.500 0.500 0.000
0.250 0.750 0.500
0.750 0.250 0.500
0.000 0.000 0.000
```

Summary:
space group = I4_1/amd
energy of formation from the pure elements = 0.340 eV per atom

## La3BeC (PBE)

Data for an optimized crystal structure of La3BeC.

Structure (POSCAR):
```
La3BeC
1.0
-4.661 -1.002 1.967
0.013 -4.607 -2.318
2.208 -2.090 4.166
La Be C
3 1 1
Direct
0.500 0.000 0.000
0.000 0.500 0.000
0.000 0.000 0.500
0.500 0.500 0.500
0.000 0.000 0.000
```

Summary:
space group = Pm-3m
energy of formation from the pure elements = 0.208 eV per atom
energy above the lowest structure with this stoichiometry = 0.00 kcal/mol of atoms

## LaBeC (PBE)

Data for an optimized crystal structure of LaBeC.

Structure (POSCAR):
```
LaBeC
1.0
4.209 0.000 0.000
0.000 3.394 0.000
0.000 -1.697 2.940
Be C La
1 1 1
Direct
0.167 0.000 0.000
0.167 0.667 0.333
0.667 0.333 0.667
```

Summary:
space group = P-6m2
energy of formation from the pure elements = 0.006 eV per atom
energy above the lowest structure with this stoichiometry = 2.32 kcal/mol of atoms

## LaBeC (PBE)

Data for an optimized crystal structure of LaBeC.

Structure (POSCAR):
```
LaBeC
1.0
-2.306 2.280 0.473
-2.034 -0.970 -5.243
-6.609 -7.503 3.953
C La Be
4 4 4
Direct
0.750 0.807 0.372
0.250 0.193 0.628
0.750 0.693 0.872
0.250 0.307 0.128
0.750 0.713 0.124
0.250 0.213 0.376
0.250 0.287 0.876
0.750 0.787 0.624
0.250 0.757 0.874
0.250 0.743 0.374
0.750 0.243 0.126
0.750 0.257 0.626
```

Summary:
space group = Pnma
energy of formation from the pure elements = 0.038 eV per atom
energy above the lowest structure with this stoichiometry = 3.03 kcal/mol of atoms

## LaBe2C (PBE)

Data for an optimized crystal structure of LaBe2C.

Structure (POSCAR):
```
LaBe2C
1.0
4.207 0.000 0.000
0.000 4.207 0.000
2.103 2.103 6.219
Be La C
4 2 2
Direct
0.375 0.625 0.750
0.375 0.625 0.250
0.375 0.125 0.250
0.875 0.625 0.750
0.750 0.250 0.500
0.000 0.000 0.000
0.500 0.500 0.000
0.250 0.750 0.500
```

Summary:
space group = I4_1/amd
energy of formation from the pure elements = 0.274 eV per atom

## LaBeC (PBE)

Data for an optimized crystal structure of LaBeC.

Structure (POSCAR):
```
LaBeC
1.0
-2.091 1.589 2.079
1.841 -2.897 4.067
7.806 7.707 1.958
La C Be
4 4 4
Direct
0.250 0.100 0.361
0.750 0.400 0.861
0.750 0.900 0.639
0.250 0.600 0.139
0.250 0.721 0.484
0.750 0.779 0.984
0.250 0.221 0.016
0.750 0.279 0.516
0.250 0.416 0.559
0.750 0.584 0.441
0.750 0.084 0.059
0.250 0.916 0.941
```

Summary:
space group = Pnma
energy of formation from the pure elements = -0.030 eV per atom
energy above the lowest structure with this stoichiometry = 1.47 kcal/mol of atoms

## LaBeC3 (PBE)

Data for an optimized crystal structure of LaBeC3.

Structure (POSCAR):
```
LaBeC3
1.0
4.447 0.000 0.000
0.000 4.447 0.000
0.000 0.000 4.447
C Be La
3 1 1
Direct
0.000 0.000 0.500
0.500 0.000 0.000
0.000 0.500 0.000
0.500 0.500 0.500
0.000 0.000 0.000
```

Summary:
space group = Pm-3m
energy of formation from the pure elements = 3.240 eV per atom
energy above the lowest structure with this stoichiometry = 45.08 kcal/mol of atoms

## LaBeC (PBE)

Data for an optimized crystal structure of LaBeC.

Structure (POSCAR):
```
LaBeC
1.0
-4.135 -3.347 -0.526
2.230 -1.986 -4.897
3.168 -4.422 3.235
Be La C
4 4 4
Direct
0.750 0.332 0.941
0.250 0.668 0.059
0.750 0.168 0.441
0.250 0.832 0.559
0.750 0.632 0.324
0.250 0.368 0.676
0.250 0.132 0.176
0.750 0.868 0.824
0.250 0.828 0.828
0.250 0.672 0.328
0.750 0.172 0.172
0.750 0.328 0.672
```

Summary:
space group = Pnma
energy of formation from the pure elements = -0.094 eV per atom
energy above the lowest structure with this stoichiometry = 0.00 kcal/mol of atoms

## La2BeC (PBE)

Data for an optimized crystal structure of La2BeC.

Structure (POSCAR):
```
La2BeC
1.0
2.887 -1.402 3.621
0.882 3.002 3.691
-1.870 -0.921 4.367
La Be C
2 1 1
Direct
0.250 0.250 0.250
0.750 0.750 0.750
0.000 0.000 0.000
0.500 0.500 0.500
```

Summary:
space group = Fm-3m
energy of formation from the pure elements = 0.595 eV per atom
energy above the lowest structure with this stoichiometry = 4.64 kcal/mol of atoms